Record 1
Material: Ag3Br
Method: DFT, PBE-GGA
State: optimized geometry

The value obtained for the uncorrected formation energy is 0.09 eV/atom. The value obtained for the density of states at the Fermi level is 1.156 states/eV/cell. The uncorrected energy comes out at -2.464 eV per atom. The calculation puts the energy above the most stable polymorph in this dataset at 110.3 meV per atom. As for the calculated volume: 89.16 Å³/cell.

Cell: 4.5942 4.5942 6.1063 Å, 98.73 98.73 44.53°
With the nearest neighbours (Å) after each atom.
Fractional coordinates of all 4 atoms:
Ag 0.0000 0.0000 0.0000  6 Ag 2.73-2.81
Ag 0.2618 0.2618 0.7943  3 Ag 2.73-2.81, 1 Br 2.92
Ag 0.7382 0.7382 0.2057  3 Ag 2.73-2.81, 1 Br 2.92
Br 0.5000 0.5000 0.5000  6 Ag 2.92-3.15

Record 2
Material: Cd12InHg7
Method: DFT, PBE-GGA
State: optimized geometry

The value obtained for the density of states at the Fermi level is 6.191 states/eV/cell. The uncorrected energy comes out at -0.762 eV per atom. The calculation puts the energy above the most stable polymorph in this dataset at 0.0 meV per atom. The calculation puts the formation enthalpy at 0 K at 0.029 eV/atom. As for the calculated volume: 490.54 Å³/cell.

Cell: 7.9075 7.9075 7.9075 Å, 94.06 94.06 94.06°
With the nearest neighbours (Å) after each atom.
Fractional coordinates of all 20 atoms:
Cd 0.0000 0.2709 0.7291  2 Hg 3.00, 6 Cd 3.12-3.19, 1 In 3.13
Cd 0.0000 0.7291 0.2709  2 Hg 3.00, 6 Cd 3.12-3.19, 1 In 3.13
Cd 0.1601 0.6115 0.6115  3 Hg 3.06-3.19, 7 Cd 3.12-3.31
Cd 0.2709 0.0000 0.7291  2 Hg 3.00, 6 Cd 3.12-3.19, 1 In 3.13
Cd 0.2709 0.7291 0.0000  2 Hg 3.00, 6 Cd 3.12-3.19, 1 In 3.13
Cd 0.3885 0.3885 0.8399  3 Hg 3.06-3.19, 7 Cd 3.12-3.31
Cd 0.3885 0.8399 0.3885  3 Hg 3.06-3.19, 7 Cd 3.12-3.31
Cd 0.6115 0.1601 0.6115  3 Hg 3.06-3.19, 7 Cd 3.12-3.31
Cd 0.6115 0.6115 0.1601  3 Hg 3.06-3.19, 7 Cd 3.12-3.31
Cd 0.7291 0.0000 0.2709  2 Hg 3.00, 6 Cd 3.12-3.19, 1 In 3.13
Cd 0.7291 0.2709 0.0000  2 Hg 3.00, 6 Cd 3.12-3.19, 1 In 3.13
Cd 0.8399 0.3885 0.3885  3 Hg 3.06-3.19, 7 Cd 3.12-3.31
In 0.0000 0.0000 0.0000  6 Cd 3.13, 6 Hg 3.41
Hg 0.1408 0.1408 0.4059  4 Cd 3.00-3.19, 2 Hg 3.07
Hg 0.1408 0.4059 0.1408  4 Cd 3.00-3.19, 2 Hg 3.07
Hg 0.4059 0.1408 0.1408  4 Cd 3.00-3.19, 2 Hg 3.07
Hg 0.5000 0.5000 0.5000  6 Cd 3.06
Hg 0.5941 0.8592 0.8592  4 Cd 3.00-3.19, 2 Hg 3.07
Hg 0.8592 0.5941 0.8592  4 Cd 3.00-3.19, 2 Hg 3.07
Hg 0.8592 0.8592 0.5941  4 Cd 3.00-3.19, 2 Hg 3.07

Record 3
Material: Pm3Sm7Er
Method: DFT, PBE-GGA
State: optimized geometry

The value obtained for the density of states at the Fermi level is 16.472 states/eV/cell. The uncorrected energy comes out at -4.469 eV per atom. The calculation puts the energy above the most stable polymorph in this dataset at 9.0 meV per atom. The calculation puts the formation enthalpy at 0 K at 0.244 eV/atom. As for the calculated volume: 380.85 Å³/cell.

Cell: 8.5441 8.5441 8.5441 Å, 139.38 97.06 96.78°
With the nearest neighbours (Å) after each atom.
Fractional coordinates of all 11 atoms:
Pm 0.0000 0.0000 0.0000  4 Sm 3.23
Pm 0.2093 0.5000 0.7093  5 Sm 3.29-3.57
Pm 0.7907 0.5000 0.2907  5 Sm 3.29-3.57
Sm 0.0080 0.8028 0.2053  2 Pm 3.23-3.57, 3 Sm 3.36-3.50
Sm 0.2090 0.7090 0.5000  1 Er 3.30, 2 Pm 3.35, 2 Sm 3.50
Sm 0.4025 0.1972 0.2053  2 Pm 3.23-3.57, 3 Sm 3.36-3.50
Sm 0.5000 0.5000 0.0000  2 Er 2.97, 2 Pm 3.29
Sm 0.5975 0.8028 0.7947  2 Pm 3.23-3.57, 3 Sm 3.36-3.50
Sm 0.7910 0.2910 0.5000  1 Er 3.30, 2 Pm 3.35, 2 Sm 3.50
Sm 0.9920 0.1972 0.7947  2 Pm 3.23-3.57, 3 Sm 3.36-3.50
Er 0.5000 0.0000 0.5000  4 Sm 2.97-3.30

Record 4
Material: ScAl2W
Method: DFT, PBE-GGA
State: optimized geometry

The value obtained for the density of states at the Fermi level is 2.249 states/eV/cell. The uncorrected energy comes out at -6.672 eV per atom. The calculation puts the energy above the most stable polymorph in this dataset at 224.1 meV per atom. The calculation puts the formation enthalpy at 0 K at 0.021 eV/atom. As for the calculated volume: 70.12 Å³/cell.

Cell: 9.6956 9.6956 9.6956 Å, 17.27 17.27 17.27°
With the nearest neighbours (Å) after each atom.
Fractional coordinates of all 4 atoms:
Sc 0.0000 0.0000 0.0000  6 Sc 2.91, 6 Al 3.05
Al 0.2446 0.2446 0.2446  3 W 2.79, 6 Al 2.91, 3 Sc 3.05
Al 0.7554 0.7554 0.7554  3 W 2.79, 6 Al 2.91, 3 Sc 3.05
W 0.5000 0.5000 0.5000  6 Al 2.79, 6 W 2.91

Record 5
Material: LiCdRh2
Method: DFT, PBE-GGA
State: optimized geometry

The value obtained for the density of states at the Fermi level is 5.247 states/eV/cell. The uncorrected energy comes out at -4.470 eV per atom. The calculation puts the formation enthalpy at 0 K at -0.087 eV/atom. As for the calculated volume: 61.46 Å³/cell.

Cell: 2.8220 3.8704 5.6269 Å, 90.00 90.12 90.00°
With the nearest neighbours (Å) after each atom.
Fractional coordinates of all 4 atoms:
Li 0.0000 0.0000 0.0000  5 Rh 2.56-2.77, 4 Cd 2.78-2.79, 2 Li 2.82
Cd 0.4998 0.5000 0.2525  4 Li 2.78-2.79, 6 Rh 2.81-2.91, 2 Cd 2.82
Rh 0.0019 0.0000 0.5457  1 Li 2.56, 6 Rh 2.66-2.82
Rh 0.5024 0.5000 0.7528  6 Rh 2.66-2.82, 4 Li 2.76-2.77, 2 Cd 2.81-2.82

Record 6
Material: SmSbPd6
Method: DFT, PBE-GGA
State: optimized geometry

The value obtained for the uncorrected formation energy is -0.30 eV/atom. The value obtained for the density of states at the Fermi level is 3.409 states/eV/cell. The uncorrected energy comes out at -5.296 eV per atom. The calculation puts the energy above the most stable polymorph in this dataset at 275.2 meV per atom. As for the calculated volume: 178.22 Å³/cell.

Cell: 7.4975 7.4975 7.4975 Å, 43.08 43.08 43.08°
With the nearest neighbours (Å) after each atom.
Fractional coordinates of all 8 atoms:
Sm 0.0000 0.0000 0.0000  12 Pd 3.07
Sb 0.5000 0.5000 0.5000  6 Pd 2.61
Pd 0.0589 0.5703 0.5703  1 Sb 2.61, 5 Pd 2.69-2.82
Pd 0.4297 0.4297 0.9411  1 Sb 2.61, 5 Pd 2.69-2.82
Pd 0.4297 0.9411 0.4297  1 Sb 2.61, 5 Pd 2.69-2.82
Pd 0.5703 0.0589 0.5703  1 Sb 2.61, 5 Pd 2.69-2.82
Pd 0.5703 0.5703 0.0589  1 Sb 2.61, 5 Pd 2.69-2.82
Pd 0.9411 0.4297 0.4297  1 Sb 2.61, 5 Pd 2.69-2.82

Record 7
Material: SrTl2PbO6
Method: DFT, PBE-GGA
State: optimized geometry

The value obtained for the uncorrected formation energy is -1.18 eV/atom. The value obtained for the density of states at the Fermi level is 9.016 states/eV/cell. The uncorrected energy comes out at -5.166 eV per atom. As for the calculated volume: 158.09 Å³/cell.

Cell: 6.2248 6.2248 6.2248 Å, 56.83 56.83 56.83°
With the nearest neighbours (Å) after each atom.
Fractional coordinates of all 10 atoms:
Sr 0.0000 0.0000 0.0000  6 O 2.45-2.62
Tl 0.2736 0.2736 0.2736  6 O 2.27-2.43
Tl 0.7784 0.7784 0.7784  6 O 2.22-2.45
Pb 0.4859 0.4859 0.4859  6 O 2.22-2.24
O 0.0958 0.6490 0.4196  2 Tl 2.22-2.43, 1 Pb 2.24, 1 Sr 2.45
O 0.1980 0.5738 0.8721  1 Pb 2.22, 2 Tl 2.27-2.45
O 0.4196 0.0958 0.6490  2 Tl 2.22-2.43, 1 Pb 2.24, 1 Sr 2.45
O 0.5738 0.8721 0.1980  1 Pb 2.22, 2 Tl 2.27-2.45
O 0.6490 0.4196 0.0958  2 Tl 2.22-2.43, 1 Pb 2.24, 1 Sr 2.45
O 0.8721 0.1980 0.5738  1 Pb 2.22, 2 Tl 2.27-2.45

Record 8
Material: NiMoP
Method: DFT, PBE-GGA
State: optimized geometry

The value obtained for the density of states at the Fermi level is 1.218 states/eV/cell. The uncorrected energy comes out at -7.680 eV per atom. The calculation puts the formation enthalpy at 0 K at -0.340 eV/atom. As for the calculated volume: 41.91 Å³/cell.

Cell: 3.8989 3.8989 3.8989 Å, 60.00 60.00 60.00°
With the nearest neighbours (Å) after each atom.
Fractional coordinates of all 3 atoms:
Ni 0.0000 0.0000 0.0000  4 P 2.39
Mo 0.5000 0.5000 0.5000  4 P 2.39
P 0.2500 0.2500 0.2500  4 Mo 2.39, 4 Ni 2.39

Record 9
Material: Cu3Ni6Ir
Method: DFT, PBE-GGA
State: optimized geometry

The value obtained for the density of states at the Fermi level is 10.870 states/eV/cell. The uncorrected energy comes out at -5.345 eV per atom. The calculation puts the formation enthalpy at 0 K at 0.238 eV/atom. As for the calculated volume: 122.89 Å³/cell.

Cell: 4.7065 4.7065 6.4059 Å, 90.00 90.00 120.00°
With the nearest neighbours (Å) after each atom.
Fractional coordinates of all 10 atoms:
Cu 0.0000 0.0000 0.0000  6 Cu 2.72
Cu 0.3333 0.6667 0.0000  6 Ni 2.44, 6 Cu 2.72
Cu 0.6667 0.3333 0.0000  6 Ni 2.44, 6 Cu 2.72
Ni 0.0000 0.5000 0.3165  5 Ni 2.35, 2 Cu 2.44, 2 Ir 2.63
Ni 0.0000 0.5000 0.6835  5 Ni 2.35, 2 Cu 2.44, 2 Ir 2.63
Ni 0.5000 0.0000 0.3165  5 Ni 2.35, 2 Cu 2.44, 2 Ir 2.63
Ni 0.5000 0.0000 0.6835  5 Ni 2.35, 2 Cu 2.44, 2 Ir 2.63
Ni 0.5000 0.5000 0.3165  5 Ni 2.35, 2 Cu 2.44, 2 Ir 2.63
Ni 0.5000 0.5000 0.6835  5 Ni 2.35, 2 Cu 2.44, 2 Ir 2.63
Ir 0.0000 0.0000 0.5000  12 Ni 2.63

Record 10
Material: TaNiRu
Method: DFT, PBE-GGA
State: optimized geometry

The value obtained for the density of states at the Fermi level is 7.500 states/eV/cell. The uncorrected energy comes out at -9.135 eV per atom. The calculation puts the energy above the most stable polymorph in this dataset at 134.3 meV per atom. The calculation puts the formation enthalpy at 0 K at -0.165 eV/atom. As for the calculated volume: 86.84 Å³/cell.

Cell: 4.4337 4.8186 4.8186 Å, 122.48 90.00 90.00°
With the nearest neighbours (Å) after each atom.
Fractional coordinates of all 6 atoms:
Ta 0.0000 0.0000 0.0000  6 Ru 2.61-2.86, 4 Ni 2.67
Ta 0.5000 0.4413 0.4413  6 Ni 2.56-2.87, 4 Ru 2.68
Ni 0.5000 0.0703 0.7363  5 Ta 2.56-2.87, 4 Ru 2.67-2.81, 3 Ni 2.71-2.82
Ni 0.5000 0.7363 0.0703  5 Ta 2.56-2.87, 4 Ru 2.67-2.81, 3 Ni 2.71-2.82
Ru 0.0000 0.3598 0.7023  5 Ta 2.61-2.86, 4 Ni 2.67-2.81, 3 Ru 2.67-2.89
Ru 0.0000 0.7023 0.3598  5 Ta 2.61-2.86, 4 Ni 2.67-2.81, 3 Ru 2.67-2.89

Record 11
Material: PrGd2Sc
Method: DFT, PBE-GGA
State: optimized geometry

The value obtained for the density of states at the Fermi level is 6.162 states/eV/cell. The uncorrected energy comes out at -9.658 eV per atom. The calculation puts the energy above the most stable polymorph in this dataset at 117.4 meV per atom. The calculation puts the formation enthalpy at 0 K at 0.160 eV/atom. As for the calculated volume: 126.47 Å³/cell.

Cell: 12.3530 12.3530 12.3530 Å, 16.11 16.11 16.11°
With the nearest neighbours (Å) after each atom.
Fractional coordinates of all 4 atoms:
Pr 0.0000 0.0000 0.0000  2 Gd 3.39, 6 Pr 3.46
Gd 0.0928 0.0928 0.0928  3 Sc 3.36, 1 Pr 3.39, 6 Gd 3.46
Gd 0.9072 0.9072 0.9072  3 Sc 3.36, 1 Pr 3.39, 6 Gd 3.46
Sc 0.5000 0.5000 0.5000  6 Gd 3.36, 6 Sc 3.46

Record 12
Material: P4Os
Method: DFT, PBE-GGA
State: optimized geometry

The value obtained for the density of states at the Fermi level is 2.747 states/eV/cell. The uncorrected energy comes out at -5.642 eV per atom. The calculation puts the energy above the most stable polymorph in this dataset at 1312.8 meV per atom. The calculation puts the formation enthalpy at 0 K at 0.932 eV/atom. As for the calculated volume: 95.28 Å³/cell.

Cell: 4.5675 4.5675 4.5675 Å, 90.00 90.00 90.00°
With the nearest neighbours (Å) after each atom.
Fractional coordinates of all 5 atoms:
P 0.0000 0.0000 0.0000  12 P 3.23
P 0.0000 0.5000 0.5000  2 Os 2.28
P 0.5000 0.0000 0.5000  2 Os 2.28
P 0.5000 0.5000 0.0000  2 Os 2.28
Os 0.5000 0.5000 0.5000  6 P 2.28